## PuMnIn2O6 (PBE with a Hubbard U)

Data for a relaxed structure of PuMnIn2O6.

The volume comes out at 13.7 A^3/atom. The total DFT energy (no corrections) is -7.64 eV per atom.

The structure belongs to space group R3 (No. 146, hexagonal axes); the cell edges are 5.6208, 5.6208 and 14.9791 Å and the angles 90.00°, 90.00° and 120.00°. The distinct sites, in fractional coordinates, are Pu at (0.0000, 0.0000, 0.0000), Mn at (0.0000, 0.0000, 0.4966), In at (0.0000, 0.0000, 0.2101), In at (0.0000, 0.0000, 0.7080), O at (0.0345, 0.6675, 0.7681) and O at (0.0392, 0.3672, 0.2677).